Record 1
# GGA-PBE PaTi2Co9, relaxed
data_PaTi2Co9
_chemical_formula_sum 'Pa3 Ti6 Co27'
_symmetry_space_group_name_H-M 'R -3 m'
_symmetry_Int_Tables_number 166
_symmetry_space_group_name_Hall '-R 3 2"'
_cell_length_a 4.7575
_cell_length_b 4.7575
_cell_length_c 23.5716
_cell_angle_alpha 90.00
_cell_angle_beta 90.00
_cell_angle_gamma 120.00
loop_
_atom_site_label
_atom_site_fract_x
_atom_site_fract_y
_atom_site_fract_z
Pa1 0.0000 0.0000 0.0000
Ti1 0.0000 0.0000 0.1419
Co1 0.0000 0.0000 0.3354
Co2 0.0000 0.0000 0.5000
Co3 0.0065 0.5033 0.9130
# **Formation energy**: -0.25 eV per atom
# **Electronic total energy**: -276.8 eV for the cell shown

---

Record 2
# GGA-PBE Pa2TiCo9, relaxed
data_Pa2TiCo9
_chemical_formula_sum 'Pa6 Ti3 Co27'
_symmetry_space_group_name_H-M 'R -3 m'
_symmetry_Int_Tables_number 166
_symmetry_space_group_name_Hall '-R 3 2"'
_cell_length_a 4.7641
_cell_length_b 4.7641
_cell_length_c 24.2456
_cell_angle_alpha 90.00
_cell_angle_beta 90.00
_cell_angle_gamma 120.00
loop_
_atom_site_label
_atom_site_fract_x
_atom_site_fract_y
_atom_site_fract_z
Pa1 0.0000 0.0000 0.1357
Ti1 0.0000 0.0000 0.0000
Co1 0.0000 0.0000 0.3332
Co2 0.0000 0.0000 0.5000
Co3 0.0011 0.5005 0.9206
# **Formation energy**: -0.19 eV per atom
# **E above lowest polymorph**: 0.105 eV/atom
# **Electronic total energy**: -279.5 eV for the cell shown

---

Record 3
# GGA-PBE PaTiCo2, relaxed
data_PaTiCo2
_chemical_formula_sum 'Pa1 Ti1 Co2'
_symmetry_space_group_name_H-M 'P 4/m m m'
_symmetry_Int_Tables_number 123
_symmetry_space_group_name_Hall '-P 4 2'
_cell_length_a 2.9874
_cell_length_b 2.9874
_cell_length_c 6.8225
_cell_angle_alpha 90.00
_cell_angle_beta 90.00
_cell_angle_gamma 90.00
loop_
_atom_site_label
_atom_site_fract_x
_atom_site_fract_y
_atom_site_fract_z
Pa1 0.0000 0.0000 0.0000
Ti1 0.0000 0.0000 0.5000
Co1 0.5000 0.5000 0.2960
# **Formation energy**: -0.31 eV per atom
# **E above lowest polymorph**: 0.000 eV/atom
# **Electronic total energy**: -32.8 eV for the cell shown

---

Record 4
# GGA-PBE PaTiCo2, relaxed
data_PaTiCo2
_chemical_formula_sum 'Pa1 Ti1 Co2'
_symmetry_space_group_name_H-M 'P 4/m m m'
_symmetry_Int_Tables_number 123
_symmetry_space_group_name_Hall '-P 4 2'
_cell_length_a 4.4302
_cell_length_b 4.4302
_cell_length_c 3.1994
_cell_angle_alpha 90.00
_cell_angle_beta 90.00
_cell_angle_gamma 90.00
loop_
_atom_site_label
_atom_site_fract_x
_atom_site_fract_y
_atom_site_fract_z
Pa1 0.0000 0.0000 0.0000
Ti1 0.5000 0.5000 0.0000
Co1 0.0000 0.5000 0.5000
# **Formation energy**: -0.19 eV per atom
# **E above lowest polymorph**: 0.115 eV/atom
# **Electronic total energy**: -32.4 eV for the cell shown